Entry A
Below is a geometry-optimized Ca3Zr structure, with properties calculated at the PBE level.

* calculated volume: 139 Å³ per cell

abc: 5.1771 5.1771 5.1771
angles: 90.00 90.00 90.00
Space group Pm-3m (No. 221)
Inequivalent atoms, fractional coordinates:
Ca  0.0000  0.0000  0.5000 (multiplicity 3)
Zr  0.5000  0.5000  0.5000 (multiplicity 1)


Entry B
Below is a geometry-optimized Ca3Zr structure, with properties calculated at the PBE level.

* calculated volume: 274 Å³ per cell

abc: 3.7362 6.0727 12.0782
angles: 90.00 90.00 90.00
Space group Immm (No. 71)
Inequivalent atoms, fractional coordinates:
Ca  0.0000  0.0000  0.0000 (multiplicity 2)
Ca  0.0000  0.5000  0.2350 (multiplicity 4)
Zr  0.0000  0.0000  0.5000 (multiplicity 2)


Entry C
Below is a geometry-optimized Ca3Zr structure, with properties calculated at the PBE level.

* calculated volume: 275 Å³ per cell

abc: 12.1284 3.5505 6.4694
angles: 90.00 99.55 90.00
Space group C2/m (No. 12)
Inequivalent atoms, fractional coordinates:
Ca  0.0000  0.0000  0.0000 (multiplicity 2)
Ca  0.2418  0.0000  0.7330 (multiplicity 4)
Zr  0.0000  0.5000  0.5000 (multiplicity 2)


Entry D
Below is a geometry-optimized Ca3Zr structure, with properties calculated at the PBE level.

* calculated volume: 274 Å³ per cell

abc: 4.0393 5.6560 12.0018
angles: 90.00 90.00 90.00
Space group Cmmm (No. 65)
Inequivalent atoms, fractional coordinates:
Ca  0.0000  0.0000  0.0000 (multiplicity 2)
Ca  0.0000  0.5000  0.2738 (multiplicity 4)
Zr  0.0000  0.0000  0.5000 (multiplicity 2)


Result of the stability comparison: entry A is the least stable of them.


Entry A
Below is a geometry-optimized Ca3Zr structure, with properties calculated at the PBE level.

* calculated volume: 136 Å³ per cell

abc: 5.9724 5.9724 3.8141
angles: 90.00 90.00 90.00
Space group P4/mmm (No. 123)
Inequivalent atoms, fractional coordinates:
Ca  0.0000  0.0000  0.0000 (multiplicity 1)
Ca  0.0000  0.5000  0.5000 (multiplicity 2)
Zr  0.5000  0.5000  0.0000 (multiplicity 1)


Entry B
Below is a geometry-optimized Ca3Zr structure, with properties calculated at the PBE level.

* calculated volume: 136 Å³ per cell

abc: 3.5908 3.5908 12.1988
angles: 90.00 90.00 120.00
Space group P-6m2 (No. 187)
Inequivalent atoms, fractional coordinates:
Ca  0.0000  0.0000  0.0000 (multiplicity 1)
Ca  0.3333  0.6667  0.2751 (multiplicity 2)
Zr  0.0000  0.0000  0.5000 (multiplicity 1)


Entry C
Below is a geometry-optimized Ca3Zr structure, with properties calculated at the PBE level.

* calculated volume: 136 Å³ per cell

abc: 3.4567 5.8022 6.8818
angles: 90.00 99.79 90.00
Space group P2/m (No. 10)
Inequivalent atoms, fractional coordinates:
Ca  0.0000  0.0000  0.0000 (multiplicity 1)
Ca  0.2506  0.5000  0.7331 (multiplicity 2)
Zr  0.5000  0.0000  0.5000 (multiplicity 1)


Entry D
Below is a geometry-optimized Ca3Zr structure, with properties calculated at the PBE level.

* calculated volume: 252 Å³ per cell

abc: 6.3182 6.3182 6.3182
angles: 90.00 90.00 90.00
Space group Pm-3m (No. 221)
Inequivalent atoms, fractional coordinates:
Ca  0.0000  0.0000  0.5000 (multiplicity 3)
Zr  0.0000  0.0000  0.0000 (multiplicity 1)


Result of the stability comparison: entry D is the least stable of them.


Entry A
Below is a geometry-optimized Ca3Zr structure, with properties calculated at the PBE level.

* calculated volume: 138 Å³ per cell

abc: 3.5605 5.2183 7.4141
angles: 90.00 90.00 90.00
Space group Pmmm (No. 47)
Inequivalent atoms, fractional coordinates:
Ca  0.0000  0.0000  0.0000 (multiplicity 1)
Ca  0.5000  0.5000  0.2714 (multiplicity 2)
Zr  0.0000  0.0000  0.5000 (multiplicity 1)


Entry B
Below is a geometry-optimized Ca3Zr structure, with properties calculated at the PBE level.

* calculated volume: 542 Å³ per cell

abc: 8.1543 8.1543 8.1543
angles: 90.00 90.00 90.00
Space group Fm-3m (No. 225)
Inequivalent atoms, fractional coordinates:
Ca  0.0000  0.0000  0.0000 (multiplicity 4)
Ca  0.2500  0.2500  0.2500 (multiplicity 8)
Zr  0.0000  0.0000  0.5000 (multiplicity 4)


Result of the stability comparison: entry B is the least stable of them.


Entry A
Below is a geometry-optimized Ca3Zr structure, with properties calculated at the PBE level.

* calculated volume: 277 Å³ per cell

abc: 5.1911 5.1911 10.2729
angles: 90.00 90.00 90.00
Space group I4/mmm (No. 139)
Inequivalent atoms, fractional coordinates:
Ca  0.0000  0.0000  0.0000 (multiplicity 2)
Ca  0.0000  0.5000  0.2500 (multiplicity 4)
Zr  0.0000  0.0000  0.5000 (multiplicity 2)


Entry B
Below is a geometry-optimized Ca3Zr structure, with properties calculated at the PBE level.

* calculated volume: 275 Å³ per cell

abc: 7.2422 10.7145 3.5441
angles: 90.00 90.00 90.00
Space group Cmmm (No. 65)
Inequivalent atoms, fractional coordinates:
Ca  0.0000  0.0000  0.0000 (multiplicity 2)
Ca  0.2500  0.2500  0.5000 (multiplicity 4)
Zr  0.0000  0.5000  0.0000 (multiplicity 2)


Result of the stability comparison: entry A is the least stable of them.